Record 1
A plane-wave DFT calculation with PBE was carried out for a relaxed LaAlCl2 crystal.

Properties
Volume (Å³/atom): 24.28
Total energy (eV/atom): -4.169

Geometry as CIF:
```
data_LaAlCl2
_symmetry_space_group_name_H-M 'P 4 m m'
_symmetry_Int_Tables_number 99
_cell_length_a 4.094
_cell_length_b 4.094
_cell_length_c 5.793
_cell_angle_alpha 90.00
_cell_angle_beta 90.00
_cell_angle_gamma 90.00
loop_
_symmetry_equiv_pos_as_xyz
'x,y,z'
'-y,x,z'
'-x,-y,z'
'y,-x,z'
'-x,y,z'
'y,x,z'
'x,-y,z'
'-y,-x,z'
loop_
_atom_site_label
_atom_site_type_symbol
_atom_site_fract_x
_atom_site_fract_y
_atom_site_fract_z
La1 La 0.000 0.000 0.000
Al1 Al 0.500 0.500 0.303
Cl1 Cl 0.000 0.000 0.506
Cl2 Cl 0.500 0.500 0.782
```

Record 2
A plane-wave DFT calculation with PBE was carried out for a relaxed TeAs2Pb crystal.

Properties
Volume (Å³/atom): 25.66
Total energy (eV/atom): -3.661

Geometry as CIF:
```
data_TeAs2Pb
_symmetry_space_group_name_H-M 'I 4/m m m'
_symmetry_Int_Tables_number 139
_symmetry_space_group_name_Hall '-I 4 2'
_cell_length_a 4.405
_cell_length_b 4.405
_cell_length_c 10.577
_cell_angle_alpha 90.00
_cell_angle_beta 90.00
_cell_angle_gamma 90.00
loop_
_atom_site_label
_atom_site_type_symbol
_atom_site_fract_x
_atom_site_fract_y
_atom_site_fract_z
Te1 Te 0.000 0.000 0.000
As1 As 0.000 0.500 0.250
Pb1 Pb 0.000 0.000 0.500
```

Record 3
A plane-wave DFT calculation with PBE was carried out for a relaxed GaN4 crystal.

Properties
Volume (Å³/atom): 13.13
Total energy (eV/atom): -4.349

Geometry as CIF:
```
data_GaN4
_symmetry_space_group_name_H-M 'P m -3 m'
_symmetry_Int_Tables_number 221
_symmetry_space_group_name_Hall '-P 4 2 3'
_cell_length_a 4.035
_cell_length_b 4.035
_cell_length_c 4.035
_cell_angle_alpha 90.00
_cell_angle_beta 90.00
_cell_angle_gamma 90.00
loop_
_atom_site_label
_atom_site_type_symbol
_atom_site_fract_x
_atom_site_fract_y
_atom_site_fract_z
Ga1 Ga 0.000 0.000 0.000
N1 N 0.000 0.000 0.500
N2 N 0.500 0.500 0.500
```